DFT (PBE) results for a relaxed CeThI4 crystal.

Unit cell a=4.023 b=7.032 c=8.839 alpha=104.91 beta=90.00 gamma=90.00
Fractional positions:
Ce1 0.500 0.000 0.500
Th1 0.000 0.500 0.500
I1 0.000 0.252 0.757
I2 0.000 0.748 0.243
I3 0.500 0.750 0.760
I4 0.500 0.250 0.240

Summary:
Space-group type: No. 10
VASP energy: -4.370 eV per atom
Formation energy from raw total energies: -1.11 eV per atom